[1]
# PBE-GGA CaCuIr2, relaxed
data_CaCuIr2
_chemical_formula_sum 'Ca2 Cu2 Ir4'
_cell_length_a 9.411
_cell_length_b 2.814
_cell_length_c 5.047
_cell_angle_alpha 90.00
_cell_angle_beta 102.54
_cell_angle_gamma 90.00
_symmetry_space_group_name_H-M 'C 1 2/m 1'
_symmetry_Int_Tables_number 12
loop_
_symmetry_equiv_pos_as_xyz
'x,y,z'
'-x,-y,-z'
'-x,y,-z'
'x,-y,z'
'x+1/2,y+1/2,z'
'-x+1/2,-y+1/2,-z'
'-x+1/2,y+1/2,-z'
'x+1/2,-y+1/2,z'
loop_
_atom_site_label
_atom_site_fract_x
_atom_site_fract_y
_atom_site_fract_z
Ca1 0.000 0.000 0.000
Cu1 0.000 0.500 0.500
Ir1 0.236 0.000 0.713
# **DOS(E_F)**: 3.46 states/eV per cell
# **M_tot**: 0.000 μB/atom
# **Volume**: 130.44 Å³ per cell
# **E**: -5.925 eV/atom
# **Energy above the most stable polymorph in this dataset**: 7 meV per atom
# **Crystal system**: monoclinic

=====

[2]
# PBE-GGA Pr6Sm2DyHo, relaxed
data_Pr6Sm2DyHo
_chemical_formula_sum 'Pr24 Sm8 Dy4 Ho4'
_cell_length_a 9.306
_cell_length_b 15.482
_cell_length_c 9.830
_cell_angle_alpha 90.00
_cell_angle_beta 98.27
_cell_angle_gamma 90.00
_symmetry_space_group_name_H-M 'C 1 2/c 1'
_symmetry_Int_Tables_number 15
loop_
_symmetry_equiv_pos_as_xyz
'x,y,z'
'-x,-y,-z'
'-x,y,-z+1/2'
'x,-y,z+1/2'
'x+1/2,y+1/2,z'
'-x+1/2,-y+1/2,-z'
'-x+1/2,y+1/2,-z+1/2'
'x+1/2,-y+1/2,z+1/2'
loop_
_atom_site_label
_atom_site_fract_x
_atom_site_fract_y
_atom_site_fract_z
Pr1 0.062 0.180 0.446
Pr2 0.101 0.394 0.618
Pr3 0.210 0.221 0.810
Sm1 0.246 0.049 0.044
Dy1 0.000 0.024 0.750
Ho1 0.000 0.410 0.250
# **DOS(E_F)**: 58.91 states/eV per cell
# **M_tot**: 0.000 μB/atom
# **Volume**: 1401.50 Å³ per cell
# **E**: -4.616 eV/atom
# **Crystal system**: monoclinic

=====

[3]
# PBE-GGA TcHSCl2, relaxed
data_TcHSCl2
_chemical_formula_sum 'Tc1 H1 S1 Cl2'
_cell_length_a 4.933
_cell_length_b 4.933
_cell_length_c 4.477
_cell_angle_alpha 90.00
_cell_angle_beta 90.00
_cell_angle_gamma 90.00
_symmetry_space_group_name_H-M 'P 4/m m m'
_symmetry_Int_Tables_number 123
_symmetry_space_group_name_Hall '-P 4 2'
loop_
_atom_site_label
_atom_site_fract_x
_atom_site_fract_y
_atom_site_fract_z
Tc1 0.000 0.000 0.000
H1 0.500 0.500 0.500
S1 0.000 0.000 0.500
Cl1 0.000 0.500 0.000
# **DOS(E_F)**: 3.16 states/eV per cell
# **M_tot**: 0.521 μB/atom
# **Volume**: 108.97 Å³ per cell
# **E**: -4.002 eV/atom
# **Energy above the most stable polymorph in this dataset**: 0 meV per atom
# **Crystal system**: tetragonal

=====

[4]
# PBE-GGA Y2TmPu, relaxed
data_Y2TmPu
_chemical_formula_sum 'Y6 Tm3 Pu3'
_cell_length_a 3.5425
_cell_length_b 3.5425
_cell_length_c 33.9996
_cell_angle_alpha 90.00
_cell_angle_beta 90.00
_cell_angle_gamma 120.00
_symmetry_space_group_name_H-M 'R 3 m'
_symmetry_Int_Tables_number 160
_symmetry_space_group_name_Hall 'R 3 -2"'
loop_
_atom_site_label
_atom_site_fract_x
_atom_site_fract_y
_atom_site_fract_z
Y1 0.0000 0.0000 0.0000
Y2 0.0000 0.0000 0.1673
Tm1 0.0000 0.0000 0.7499
Pu1 0.0000 0.0000 0.5841
# **DOS(E_F)**: 32.74 states/eV per cell
# **M_tot**: 1.460 μB/atom
# **Volume**: 369.51 Å³ per cell
# **E**: -7.836 eV/atom
# **Energy above the most stable polymorph in this dataset**: 0 meV per atom
# **Crystal system**: trigonal